Record 1
Density functional theory data (GGA-PBE) for an optimized crystal structure of SrCuNi2.

Results
relative energy among the computed polymorphs = 0.4467 eV per atom

a b c (Å): 4.097 4.089 3.930
angles (deg): 90.00 90.00 90.00
Element x y z (fractional)
Cu 0.000 0.500 0.500
Ni 0.000 0.000 0.000
Ni 0.500 0.500 0.000
Sr 0.500 0.000 0.500



Record 2
Density functional theory data (GGA-PBE) for an optimized crystal structure of TaCu3Pd6.

Results
relative energy among the computed polymorphs = 0.0000 eV per atom

a b c (Å): 4.040 8.231 8.910
angles (deg): 96.05 90.00 90.00
Element x y z (fractional)
Ta 0.250 0.935 0.621
Ta 0.750 0.065 0.379
Cu 0.250 0.551 0.396
Cu 0.750 0.449 0.604
Cu 0.250 0.350 0.811
Cu 0.750 0.650 0.189
Cu 0.250 0.746 0.991
Cu 0.750 0.254 0.009
Pd 0.250 0.459 0.101
Pd 0.750 0.541 0.899
Pd 0.250 0.156 0.210
Pd 0.750 0.844 0.790
Pd 0.250 0.630 0.689
Pd 0.750 0.370 0.311
Pd 0.250 0.252 0.514
Pd 0.750 0.748 0.486
Pd 0.250 0.848 0.301
Pd 0.750 0.152 0.699
Pd 0.250 0.059 0.904
Pd 0.750 0.941 0.096



- The lowest relative energy among the computed polymorphs belongs to which entry?
  TaCu3Pd6